Here is a relaxed structure of SrSn3Bi from Alexandria via LeMat-Bulk. Energies are from GGA-PBE.

## Properties
Energy of formation, eV per atom: 0.872
M_tot, μB/f.u.: 0.00
Relative energy among the computed polymorphs, meV per atom: 559

a = 5.9388 Å, b = 5.9388 Å, c = 5.9388 Å
α = 90.00°, β = 90.00°, γ = 90.00°
Closest atoms and distances in Å follow each position.
Space group Pm-3m (No. 221)
One atom of each set of equivalent atoms:
Sr 0.0000 0.0000 0.0000 x1  6 Sn 2.97
Sn 0.0000 0.0000 0.5000 x3  2 Sr 2.97
Bi 0.5000 0.5000 0.5000 x1  12 Sn 4.20

Here is a relaxed structure of SrSnBi2Te from Alexandria via LeMat-Bulk. Energies are from GGA-PBE.

## Properties
Raw total energy, eV/atom: -3.31
M_tot, μB/f.u.: 0.00

a = 5.8344 Å, b = 5.8344 Å, c = 5.8366 Å
α = 90.00°, β = 90.00°, γ = 90.00°
Closest atoms and distances in Å follow each position.
Space group P4/mmm (No. 123)
One atom of each set of equivalent atoms:
Sr 0.0000 0.0000 0.0000 x1  4 Te 4.13, 8 Bi 4.13
Sn 0.5000 0.5000 0.5000 x1  4 Bi 2.92, 2 Te 2.92
Bi 0.0000 0.5000 0.5000 x2  2 Sn 2.92
Te 0.5000 0.5000 0.0000 x1  2 Sn 2.92

Here is a relaxed structure of SrTlSnBi from Alexandria via LeMat-Bulk. Energies are from GGA-PBE.

## Properties
Energy of formation, eV per atom: -0.403
M_tot, μB/f.u.: 0.00
Relative energy among the computed polymorphs, meV per atom: 0

a = 4.8432 Å, b = 5.0575 Å, c = 5.1207 Å
α = 90.00°, β = 90.00°, γ = 90.00°
Closest atoms and distances in Å follow each position.
Space group Pmmm (No. 47)
One atom of each set of equivalent atoms:
Sr 0.0000 0.0000 0.0000 x1  4 Tl 3.50, 4 Bi 3.52, 4 Sn 3.60
Tl 0.5000 0.5000 0.0000 x1  4 Sr 3.50, 4 Sn 3.52, 4 Bi 3.60
Sn 0.0000 0.5000 0.5000 x1  4 Bi 3.50, 4 Tl 3.52, 4 Sr 3.60
Bi 0.5000 0.0000 0.5000 x1  4 Sn 3.50, 4 Sr 3.52, 4 Tl 3.60

Here is a relaxed structure of SrTl2SnBi2 from Alexandria via LeMat-Bulk. Energies are from GGA-PBE.

## Properties
Energy of formation, eV per atom: -0.270
M_tot, μB/f.u.: 0.00

a = 5.5113 Å, b = 9.8954 Å, c = 7.5311 Å
α = 90.00°, β = 90.00°, γ = 90.00°
Closest atoms and distances in Å follow each position.
Space group Pmc2_1 (No. 26)
One atom of each set of equivalent atoms:
Sr 0.0000 0.0391 0.0000 x2  5 Bi 3.44-3.68, 1 Tl 3.73, 2 Sn 3.77, 2 Sr 3.84
Tl 0.0000 0.3427 0.2945 x2  4 Bi 3.32-3.46, 2 Tl 3.63
Tl 0.5000 0.4529 0.0163 x2  6 Tl 3.63-3.88, 5 Bi 3.68-3.91, 2 Sn 3.68-3.84
Sn 0.5000 0.1805 0.6828 x2  4 Bi 3.13-3.17
Bi 0.0000 0.3245 0.7401 x2  2 Sn 3.13, 2 Tl 3.32-3.36, 1 Sr 3.44
Bi 0.5000 0.1322 0.2669 x2  2 Sn 3.16-3.17, 2 Tl 3.46, 2 Sr 3.53

Here is a relaxed structure of SrTlSnBi from Alexandria via LeMat-Bulk. Energies are from GGA-PBE.

## Properties
Energy of formation, eV per atom: -0.264
M_tot, μB/f.u.: 0.00
Relative energy among the computed polymorphs, meV per atom: 139

a = 8.0355 Å, b = 8.0355 Å, c = 8.0355 Å
α = 90.00°, β = 90.00°, γ = 90.00°
Closest atoms and distances in Å follow each position.
Space group F-43m (No. 216)
One atom of each set of equivalent atoms:
Sr 0.0000 0.0000 0.0000 x4  4 Bi 3.48, 4 Tl 3.48
Tl 0.2500 0.2500 0.7500 x4  4 Sn 3.48, 4 Sr 3.48
Sn 0.0000 0.0000 0.5000 x4  4 Tl 3.48, 4 Bi 3.48
Bi 0.2500 0.2500 0.2500 x4  4 Sn 3.48, 4 Sr 3.48

Here is a relaxed structure of TaSn3Bi from Alexandria via LeMat-Bulk. Energies are from GGA-PBE.

## Properties
Energy of formation, eV per atom: 0.522
M_tot, μB/f.u.: 0.00
Relative energy among the computed polymorphs, meV per atom: 0

a = 5.4293 Å, b = 5.4293 Å, c = 5.4293 Å
α = 90.00°, β = 90.00°, γ = 90.00°
Closest atoms and distances in Å follow each position.
Space group Pm-3m (No. 221)
One atom of each set of equivalent atoms:
Ta 0.0000 0.0000 0.0000 x1  6 Sn 2.71
Sn 0.0000 0.0000 0.5000 x3  2 Ta 2.71
Bi 0.5000 0.5000 0.5000 x1  12 Sn 3.84

Here is a relaxed structure of Ta3SnBi from Alexandria via LeMat-Bulk. Energies are from GGA-PBE.

## Properties
Energy of formation, eV per atom: 2.151
M_tot, μB/f.u.: 0.00
Relative energy among the computed polymorphs, meV per atom: 308

a = 5.1459 Å, b = 5.1459 Å, c = 5.1459 Å
α = 90.00°, β = 90.00°, γ = 90.00°
Closest atoms and distances in Å follow each position.
Space group Pm-3m (No. 221)
One atom of each set of equivalent atoms:
Ta 0.0000 0.0000 0.5000 x3  2 Bi 2.57
Sn 0.5000 0.5000 0.5000 x1  12 Ta 3.64
Bi 0.0000 0.0000 0.0000 x1  6 Ta 2.57

Here is a relaxed structure of TaSnBi3 from Alexandria via LeMat-Bulk. Energies are from GGA-PBE.

## Properties
Energy of formation, eV per atom: 1.654
M_tot, μB/f.u.: 0.00
Relative energy among the computed polymorphs, meV per atom: 1058

a = 5.6291 Å, b = 5.6291 Å, c = 5.6291 Å
α = 90.00°, β = 90.00°, γ = 90.00°
Closest atoms and distances in Å follow each position.
Space group Pm-3m (No. 221)
One atom of each set of equivalent atoms:
Ta 0.0000 0.0000 0.0000 x1  12 Bi 3.98
Sn 0.5000 0.5000 0.5000 x1  6 Bi 2.81
Bi 0.0000 0.5000 0.5000 x3  2 Sn 2.81

Here is a relaxed structure of TaSn2Bi2 from Alexandria via LeMat-Bulk. Energies are from GGA-PBE.

## Properties
Energy of formation, eV per atom: 0.582
M_tot, μB/f.u.: 0.86
Relative energy among the computed polymorphs, meV per atom: 0

a = 7.5844 Å, b = 7.5844 Å, c = 5.0140 Å
α = 90.00°, β = 90.00°, γ = 90.00°
Closest atoms and distances in Å follow each position.
Space group P4/mbm (No. 127)
One atom of each set of equivalent atoms:
Ta 0.0000 0.0000 0.0000 x2  4 Bi 2.87
Sn 0.1608 0.3392 0.5000 x4  6 Bi 3.19-3.47, 1 Sn 3.45
Bi 0.1550 0.6550 0.0000 x4  2 Ta 2.87, 2 Sn 3.19

Here is a relaxed structure of TaSnBi from Alexandria via LeMat-Bulk. Energies are from GGA-PBE.

## Properties
Energy of formation, eV per atom: 0.263
M_tot, μB/f.u.: 0.00

a = 5.2386 Å, b = 5.5083 Å, c = 5.8326 Å
α = 76.38°, β = 89.93°, γ = 61.62°
Closest atoms and distances in Å follow each position.
Space group P-1 (No. 2)
One atom of each set of equivalent atoms:
Ta 0.2201 0.0584 0.3622 x2  1 Sn 2.80, 2 Bi 2.98-3.08, 2 Ta 3.04-3.05
Sn 0.4690 0.5629 0.7420 x2  1 Ta 2.80, 2 Sn 2.91-3.04, 2 Bi 3.03
Bi 0.1326 0.2351 0.8144 x2  5 Ta 2.98-3.30, 2 Sn 3.03

Here is a relaxed structure of TaSn2Bi from Alexandria via LeMat-Bulk. Energies are from GGA-PBE.

## Properties
Energy of formation, eV per atom: 0.819
M_tot, μB/f.u.: 0.00

a = 6.5990 Å, b = 6.5990 Å, c = 13.4985 Å
α = 90.00°, β = 90.00°, γ = 90.00°
Closest atoms and distances in Å follow each position.
Space group I-42d (No. 122)
One atom of each set of equivalent atoms:
Ta 0.0000 0.0000 0.0000 x4  4 Sn 2.74
Sn 0.2101 0.2500 0.1250 x8  2 Ta 2.74, 2 Bi 3.04
Bi 0.0000 0.0000 0.5000 x4  4 Sn 3.04

Here is a relaxed structure of Ta3SnBi from Alexandria via LeMat-Bulk. Energies are from GGA-PBE.

## Properties
Energy of formation, eV per atom: 1.843
M_tot, μB/f.u.: 0.00
Relative energy among the computed polymorphs, meV per atom: 0

a = 5.0813 Å, b = 5.0813 Å, c = 5.0813 Å
α = 90.00°, β = 90.00°, γ = 90.00°
Closest atoms and distances in Å follow each position.
Space group Pm-3m (No. 221)
One atom of each set of equivalent atoms:
Ta 0.0000 0.0000 0.5000 x3  2 Sn 2.54
Sn 0.0000 0.0000 0.0000 x1  6 Ta 2.54
Bi 0.5000 0.5000 0.5000 x1  12 Ta 3.59